LiHF | Alexandria via LeMat-Bulk | PBE | relaxed; density of states at the Fermi level = 0.096 states/eV/atom; V = 51 Å³/cell; energy relative to the lowest polymorph listed for this composition = 375 meV/atom
1.0
3.020 -1.316 0.000
3.020 1.316 0.000
-2.073 0.000 6.452
Li H F
2 2 2
Cartesian
0.913 0.000 0.966
3.053 0.000 5.486
0.469 0.000 3.237
3.497 0.000 3.215
-1.185 0.000 5.401
5.151 0.000 1.051



LiHNF2 | Alexandria via LeMat-Bulk | PBE | relaxed; density of states at the Fermi level = 0.526 states/eV/atom; V = 41 Å³/cell; energy relative to the lowest polymorph listed for this composition = 0 meV/atom
1.0
3.990 0.000 0.000
0.000 3.990 0.000
0.000 0.000 2.574
Li H N F
1 1 1 2
Cartesian
0.000 0.000 0.000
1.995 1.995 1.287
1.995 1.995 0.000
0.000 1.995 1.287
1.995 0.000 1.287



LiHNF2 | Alexandria via LeMat-Bulk | PBE | relaxed; density of states at the Fermi level = 0.656 states/eV/atom; V = 61 Å³/cell; energy relative to the lowest polymorph listed for this composition = 741 meV/atom
1.0
3.734 0.000 0.000
0.000 3.734 0.000
0.000 0.000 4.361
Li H N F
1 1 1 2
Cartesian
0.000 0.000 0.000
1.867 1.867 2.181
0.000 0.000 2.181
0.000 1.867 0.000
1.867 0.000 0.000



Li2H2NF2 | Alexandria via LeMat-Bulk | PBE | relaxed; density of states at the Fermi level = 0.138 states/eV/atom; total DFT energy (no corrections) = -4.517 eV/atom; V = 58 Å³/cell
1.0
2.747 0.000 0.000
-0.262 4.136 0.000
-0.613 -1.063 5.117
Li H N F
2 2 1 2
Cartesian
0.253 0.580 1.910
1.619 2.492 3.206
0.935 3.304 0.602
0.937 -0.232 4.515
1.373 0.000 0.000
0.234 2.535 1.892
1.637 0.538 3.225



LiHN2F | Alexandria via LeMat-Bulk | PBE | relaxed; density of states at the Fermi level = 0.147 states/eV/atom; V = 48 Å³/cell; energy relative to the lowest polymorph listed for this composition = 0 meV/atom
1.0
2.728 0.000 0.000
0.000 2.728 0.000
0.000 0.000 6.485
Li H N F
1 1 2 1
Cartesian
0.000 0.000 0.000
1.364 1.364 3.242
0.000 1.364 3.242
1.364 0.000 3.242
1.364 1.364 0.000



LiHN2F | Alexandria via LeMat-Bulk | PBE | relaxed; density of states at the Fermi level = 0.000 states/eV/atom; V = 76 Å³/cell; energy relative to the lowest polymorph listed for this composition = 993 meV/atom
1.0
4.681 0.000 0.000
0.000 4.681 0.000
0.000 0.000 3.469
Li H N F
1 1 2 1
Cartesian
0.000 0.000 0.000
2.340 2.340 1.735
0.000 2.340 0.000
2.340 0.000 0.000
0.000 0.000 1.735



LiPH4NO3F | Alexandria via LeMat-Bulk | PBE | relaxed; density of states at the Fermi level = 0.000 states/eV/atom; total DFT energy (no corrections) = -5.727 eV/atom; V = 407 Å³/cell
1.0
5.532 0.000 0.000
0.000 5.047 0.000
-0.250 0.000 14.582
Li P H N O F
4 4 16 4 12 4
Cartesian
0.961 0.317 3.585
0.836 2.207 10.876
4.446 2.840 3.706
4.321 4.731 10.997
1.612 2.865 2.094
1.488 4.706 9.386
3.794 0.341 5.197
3.670 2.182 12.488
0.252 2.549 5.868
0.127 5.022 13.159
1.257 2.878 7.200
1.133 4.693 14.491
1.558 3.675 5.721
1.433 3.896 13.012
1.704 0.518 13.146
1.828 2.006 5.855
3.454 3.042 8.727
3.579 4.529 1.436
3.849 1.151 1.570
3.724 1.372 8.861
4.149 0.355 0.091
4.025 2.169 7.382
5.155 0.025 1.423
5.031 2.499 8.714
1.223 2.784 6.165
1.098 4.787 13.456
4.184 0.261 1.126
4.059 2.263 8.417
0.550 0.338 10.370
0.675 2.185 3.079
1.160 3.228 9.123
1.285 4.343 1.832
2.307 0.086 4.976
2.182 2.437 12.267
3.100 2.610 2.315
2.975 4.961 9.606
3.997 0.704 12.750
4.122 1.819 5.459
4.607 2.862 11.503
4.732 4.709 4.212
1.183 0.374 7.963
1.308 2.149 0.672
3.974 2.898 13.910
4.099 4.673 6.619



NaLiHF | Alexandria via LeMat-Bulk | PBE | relaxed; density of states at the Fermi level = 0.000 states/eV/atom; total DFT energy (no corrections) = -3.612 eV/atom; V = 104 Å³/cell
1.0
3.336 0.000 0.000
-1.668 2.889 0.000
0.000 0.000 10.803
Na Li H F
2 2 2 2
Cartesian
0.000 1.926 0.000
1.668 0.963 5.402
0.000 0.000 2.559
0.000 0.000 7.961
0.000 1.926 7.139
1.668 0.963 1.737
0.000 0.000 4.359
0.000 0.000 9.761



NaLiH2F4 | Alexandria via LeMat-Bulk | PBE | relaxed; density of states at the Fermi level = 0.000 states/eV/atom; total DFT energy (no corrections) = -4.430 eV/atom; V = 80 Å³/cell
1.0
-2.327 2.861 3.016
2.327 -2.861 3.016
2.327 2.861 -3.016
Na Li H F
1 1 2 4
Cartesian
0.000 0.000 0.000
0.000 0.000 3.016
2.327 0.000 1.781
0.000 2.861 1.235
0.960 2.224 -1.242
1.366 0.637 1.774
1.366 -0.637 4.259
0.960 3.497 1.242



Na3Li2H4F2 | Alexandria via LeMat-Bulk | PBE | relaxed; density of states at the Fermi level = 0.099 states/eV/atom; total DFT energy (no corrections) = -3.259 eV/atom; V = 123 Å³/cell
1.0
-1.748 1.748 10.083
1.748 -1.748 10.083
1.748 1.748 -10.083
Na Li H F
3 2 4 2
Cartesian
0.000 0.000 0.000
0.000 0.000 3.813
0.000 0.000 16.353
0.000 0.000 7.970
0.000 0.000 12.197
1.748 0.000 1.569
1.748 0.000 8.514
0.000 1.748 1.569
0.000 1.748 8.514
0.000 0.000 6.107
0.000 0.000 14.059



NaLi2HF6 | Alexandria via LeMat-Bulk | PBE | relaxed; density of states at the Fermi level = 0.000 states/eV/atom; total DFT energy (no corrections) = -4.036 eV/atom; V = 232 Å³/cell
1.0
4.692 -4.649 0.000
4.692 4.649 0.000
-1.882 0.000 5.316
Na Li H F
2 4 2 12
Cartesian
3.280 3.019 3.987
4.221 -3.019 1.329
0.660 0.899 4.891
1.601 -0.899 2.234
5.901 0.899 3.082
6.842 -0.899 0.424
4.221 2.340 1.329
3.280 -2.340 3.987
0.565 0.512 3.014
3.620 2.366 0.352
1.506 -0.512 0.356
2.511 0.598 3.665
4.823 2.366 2.305
3.452 -0.598 1.007
4.050 0.598 4.309
2.679 -2.366 3.010
4.991 -0.598 1.651
5.995 0.512 4.959
3.882 -2.366 4.963
6.936 -0.512 2.301